Computed, not measured: a relaxed structure of ErPa4Se5 at the GGA-PBE level of DFT.

Cell: 17.723 17.723 17.723 Å, 12.78 12.78 12.78°
Positions (direct):
Er 0.000 0.000 0.000
Pa 0.200 0.200 0.200
Pa 0.400 0.400 0.400
Pa 0.600 0.600 0.600
Pa 0.800 0.800 0.800
Se 0.100 0.100 0.100
Se 0.301 0.301 0.301
Se 0.500 0.500 0.500
Se 0.699 0.699 0.699
Se 0.900 0.900 0.900

Calculated values
DFT total energy in eV/atom: -7.293
Uncorrected formation energy in eV per atom: -1.297
Total magnetization in μB/atom: 0.06


Computed, not measured: a relaxed structure of ErPaSe4 at the GGA-PBE level of DFT.

Cell: 7.965 7.965 7.063 Å, 115.47 115.47 30.38°
Positions (direct):
Er 0.000 0.000 0.000
Pa 0.500 0.500 0.500
Se 0.111 0.111 0.765
Se 0.391 0.391 0.719
Se 0.609 0.609 0.281
Se 0.889 0.889 0.235

Calculated values
DFT total energy in eV/atom: -6.216
Uncorrected formation energy in eV per atom: -1.550
Total magnetization in μB/atom: 0.00


Computed, not measured: a relaxed structure of ErPa2Se6 at the GGA-PBE level of DFT.

Cell: 6.668 6.668 12.639 Å, 90.00 90.00 90.00°
Positions (direct):
Er 0.000 0.000 0.000
Er 0.500 0.500 0.500
Pa 0.000 0.000 0.333
Pa 0.000 0.000 0.667
Pa 0.500 0.500 0.167
Pa 0.500 0.500 0.833
Se 0.196 0.196 0.500
Se 0.199 0.199 0.168
Se 0.199 0.199 0.832
Se 0.301 0.699 0.332
Se 0.301 0.699 0.668
Se 0.304 0.696 0.000
Se 0.696 0.304 0.000
Se 0.699 0.301 0.332
Se 0.699 0.301 0.668
Se 0.801 0.801 0.168
Se 0.801 0.801 0.832
Se 0.804 0.804 0.500

Calculated values
DFT total energy in eV/atom: -6.337
Uncorrected formation energy in eV per atom: -1.397
Total magnetization in μB/atom: 0.12


Computed, not measured: a relaxed structure of Er2PaSe6 at the GGA-PBE level of DFT.

Cell: 6.657 6.657 12.512 Å, 90.00 90.00 90.00°
Positions (direct):
Er 0.000 0.000 0.166
Er 0.000 0.000 0.834
Er 0.500 0.500 0.334
Er 0.500 0.500 0.666
Pa 0.000 0.000 0.500
Pa 0.500 0.500 0.000
Se 0.198 0.198 0.337
Se 0.198 0.198 0.663
Se 0.204 0.204 0.000
Se 0.296 0.704 0.500
Se 0.302 0.698 0.163
Se 0.302 0.698 0.837
Se 0.698 0.302 0.163
Se 0.698 0.302 0.837
Se 0.704 0.296 0.500
Se 0.796 0.796 0.000
Se 0.802 0.802 0.337
Se 0.802 0.802 0.663

Calculated values
DFT total energy in eV/atom: -5.809
Uncorrected formation energy in eV per atom: -1.417
Total magnetization in μB/atom: 0.00


Computed, not measured: a relaxed structure of ErPa6Se8 at the GGA-PBE level of DFT.

Cell: 8.089 8.089 8.089 Å, 60.00 60.00 60.00°
Positions (direct):
Er 0.000 0.000 0.000
Pa 0.000 0.000 0.500
Pa 0.000 0.500 0.000
Pa 0.000 0.500 0.500
Pa 0.500 0.000 0.000
Pa 0.500 0.000 0.500
Pa 0.500 0.500 0.000
Se 0.250 0.250 0.250
Se 0.256 0.256 0.744
Se 0.256 0.744 0.256
Se 0.256 0.744 0.744
Se 0.744 0.256 0.256
Se 0.744 0.256 0.744
Se 0.744 0.744 0.256
Se 0.750 0.750 0.750

Calculated values
DFT total energy in eV/atom: -7.306
Uncorrected formation energy in eV per atom: -1.345
Total magnetization in μB/atom: 0.00


Computed, not measured: a relaxed structure of ErPaSe2 at the GGA-PBE level of DFT.

Cell: 3.972 3.972 20.647 Å, 90.00 90.00 120.00°
Positions (direct):
Er 0.000 0.000 0.000
Er 0.333 0.667 0.165
Er 0.667 0.333 0.835
Pa 0.000 0.000 0.500
Pa 0.333 0.667 0.668
Pa 0.667 0.333 0.332
Se 0.000 0.000 0.244
Se 0.000 0.000 0.756
Se 0.333 0.667 0.416
Se 0.333 0.667 0.918
Se 0.667 0.333 0.082
Se 0.667 0.333 0.584

Calculated values
DFT total energy in eV/atom: -6.707
Uncorrected formation energy in eV per atom: -1.450
Total magnetization in μB/atom: 0.06